[1]
AcTb4Ho4: relaxed, GGA-PBE.

Unit cell a=5.061 b=8.037 c=8.037 alpha=84.31 beta=71.65 gamma=71.65
Fractional positions:
1 Ac 0.000 0.000 0.000
2 Tb 0.664 0.336 0.336
3 Tb 0.336 0.664 0.664
4 Tb 0.000 0.664 0.336
5 Tb 0.000 0.336 0.664
6 Ho 0.671 0.659 0.000
7 Ho 0.329 0.341 0.000
8 Ho 0.671 0.000 0.659
9 Ho 0.329 0.000 0.341

Calculated values
E above lowest polymorph   0.000 eV/atom
ΔE_f   37.6 meV/atom
V   294.50 Å³/cell
Total magnetization   0.000 μB per formula unit


[2]
Ac3Tb3Ho2: relaxed, GGA-PBE.

Unit cell a=6.775 b=10.056 c=10.056 alpha=60.00 beta=90.00 gamma=90.00
Fractional positions:
1 Ac 0.750 0.000 0.235
2 Ac 0.750 0.235 0.765
3 Ac 0.750 0.765 0.000
4 Ac 0.250 0.000 0.765
5 Ac 0.250 0.765 0.235
6 Ac 0.250 0.235 0.000
7 Tb 0.750 0.000 0.585
8 Tb 0.750 0.585 0.415
9 Tb 0.750 0.415 0.000
10 Tb 0.250 0.000 0.415
11 Tb 0.250 0.415 0.585
12 Tb 0.250 0.585 0.000
13 Ho 0.000 0.333 0.333
14 Ho 0.500 0.667 0.667
15 Ho 0.000 0.667 0.667
16 Ho 0.500 0.333 0.333

Calculated values
ΔE_f   177.9 meV/atom
V   593.33 Å³/cell
Total magnetization   0.009 μB per formula unit


[3]
Ac2Tb4Ho5: relaxed, GGA-PBE.

Unit cell a=3.634 b=9.289 c=12.353 alpha=112.89 beta=98.46 gamma=90.00
Fractional positions:
1 Ac 0.889 0.203 0.778
2 Ac 0.111 0.797 0.222
3 Tb 0.685 0.530 0.369
4 Tb 0.045 0.375 0.091
5 Tb 0.315 0.470 0.631
6 Tb 0.955 0.625 0.909
7 Ho 0.132 0.192 0.264
8 Ho 0.868 0.808 0.736
9 Ho 0.267 0.870 0.533
10 Ho 0.500 0.000 0.000
11 Ho 0.733 0.130 0.467

Calculated values
ΔE_f   142.9 meV/atom
V   379.26 Å³/cell
Total magnetization   0.000 μB per formula unit


[4]
AcTb2Ho: relaxed, GGA-PBE.

Unit cell a=3.683 b=3.683 c=10.225 alpha=90.00 beta=90.00 gamma=90.00
Fractional positions:
1 Ac 0.500 0.500 0.500
2 Tb 0.000 0.000 0.765
3 Tb 0.000 0.000 0.235
4 Ho 0.500 0.500 0.000

Calculated values
E above lowest polymorph   0.003 eV/atom
ΔE_f   57.8 meV/atom
V   138.67 Å³/cell
Total magnetization   0.000 μB per formula unit


[5]
Ac2Tb5Ho: relaxed, GGA-PBE.

Unit cell a=5.230 b=5.230 c=10.813 alpha=103.99 beta=103.99 gamma=90.00
Fractional positions:
1 Ac 0.750 0.750 0.501
2 Ac 0.250 0.250 0.499
3 Tb 0.500 0.500 0.000
4 Tb 0.382 0.882 0.764
5 Tb 0.882 0.382 0.764
6 Tb 0.618 0.118 0.236
7 Tb 0.118 0.618 0.236
8 Ho 0.000 0.000 0.000

Calculated values
ΔE_f   55.0 meV/atom
V   277.91 Å³/cell
Total magnetization   0.000 μB per formula unit


[6]
Ac4Tb2Ho: relaxed, GGA-PBE.

Unit cell a=7.254 b=7.254 c=13.154 alpha=96.82 beta=96.82 gamma=124.74
Fractional positions:
1 Ac 0.630 0.249 0.710
2 Ac 0.249 0.630 0.210
3 Ac 0.217 0.861 0.862
4 Ac 0.861 0.217 0.362
5 Ac 0.104 0.254 0.639
6 Ac 0.791 0.675 0.290
7 Ac 0.675 0.791 0.790
8 Ac 0.254 0.104 0.139
9 Tb 0.384 0.184 0.434
10 Tb 0.702 0.996 0.066
11 Tb 0.996 0.702 0.566
12 Tb 0.184 0.384 0.934
13 Ho 0.480 0.734 0.500
14 Ho 0.734 0.480 0.000

Calculated values
ΔE_f   120.5 meV/atom
V   549.75 Å³/cell
Total magnetization   0.000 μB per formula unit


[7]
Ac3Tb8Ho: relaxed, GGA-PBE.

Unit cell a=8.906 b=8.906 c=8.906 alpha=98.91 beta=96.60 gamma=136.91
Fractional positions:
1 Ac 0.500 0.744 0.244
2 Ac 0.500 0.256 0.756
3 Ac 0.000 0.500 0.500
4 Tb 0.492 0.254 0.237
5 Tb 0.508 0.746 0.762
6 Tb 0.983 0.746 0.238
7 Tb 0.017 0.254 0.763
8 Tb 0.174 0.248 0.422
9 Tb 0.826 0.248 0.074
10 Tb 0.174 0.752 0.926
11 Tb 0.826 0.752 0.578
12 Ho 0.000 0.000 0.000

Calculated values
ΔE_f   247.2 meV/atom
V   448.75 Å³/cell
Total magnetization   0.000 μB per formula unit


[8]
AcTb3Ho5: relaxed, GGA-PBE.

Unit cell a=8.897 b=8.897 c=12.708 alpha=51.63 beta=51.63 gamma=58.98
Fractional positions:
1 Ac 0.720 0.280 0.750
2 Ac 0.280 0.720 0.250
3 Tb 0.000 0.000 0.000
4 Tb 0.352 0.212 0.398
5 Tb 0.000 0.000 0.500
6 Tb 0.648 0.788 0.602
7 Tb 0.212 0.352 0.898
8 Tb 0.788 0.648 0.102
9 Ho 0.132 0.868 0.750
10 Ho 0.706 0.444 0.991
11 Ho 0.466 0.077 0.153
12 Ho 0.294 0.556 0.009
13 Ho 0.923 0.534 0.347
14 Ho 0.868 0.132 0.250
15 Ho 0.444 0.706 0.491
16 Ho 0.556 0.294 0.509
17 Ho 0.077 0.466 0.653
18 Ho 0.534 0.923 0.847

Calculated values
ΔE_f   192.9 meV/atom
V   604.33 Å³/cell
Total magnetization   0.000 μB per formula unit